(1)
Here is an optimized crystal structure of MnFe2Ag from Alexandria. Energies are from PBE.

Values from the calculation:
Symmetry: No. 119
Formation energy from the elements, eV per atom: 0.393
ΔE to the lowest computed polymorph, meV/atom: 114

Lattice parameters (Å, degrees): 3.829 3.829 7.635 90.00 90.00 90.00
Element x y z (fractional)
Mn 0.000 0.000 0.000
Mn 0.500 0.500 0.500
Fe 0.000 0.000 0.500
Fe 0.000 0.500 0.250
Fe 0.500 0.000 0.750
Fe 0.500 0.500 0.000
Ag 0.000 0.500 0.750
Ag 0.500 0.000 0.250

---

(2)
Here is an optimized crystal structure of Tb5CePb5 from Alexandria. Energies are from PBE.

Values from the calculation:
Symmetry: No. 12
Formation energy from the elements, eV per atom: -0.253

Lattice parameters (Å, degrees): 7.827 7.827 8.685 105.93 105.93 47.40
Element x y z (fractional)
Tb 0.000 0.000 0.000
Tb 0.331 0.331 0.664
Tb 0.334 0.334 0.165
Tb 0.666 0.666 0.835
Tb 0.669 0.669 0.336
Ce 0.000 0.000 0.500
Pb 0.165 0.165 0.327
Pb 0.165 0.165 0.836
Pb 0.500 0.500 0.500
Pb 0.835 0.835 0.164
Pb 0.835 0.835 0.673

---

(3)
Here is an optimized crystal structure of Cr3HgS from Alexandria. Energies are from PBE.

Values from the calculation:
Formation energy without anion corrections, kJ/mol of atoms: 42.0
Symmetry: No. 221
ΔE to the lowest computed polymorph, meV/atom: 0

Lattice parameters (Å, degrees): 4.205 4.205 4.205 90.00 90.00 90.00
Element x y z (fractional)
Cr 0.000 0.000 0.500
Cr 0.000 0.500 0.000
Cr 0.500 0.000 0.000
Hg 0.500 0.500 0.500
S 0.000 0.000 0.000